Record 1
FeCuOs2 PBE-GGA optimized geometry; space group = R-3m; distance to the lowest polymorph of the same formula = 0 kJ/mol of formula units; formation enthalpy at 0 K = 203 meV per atom
1.0
2.665 0.000 0.000
-1.332 2.308 0.000
0.000 0.000 25.797
Fe Cu Os
3 3 6
Direct
0.000 0.000 0.000
0.333 0.667 0.667
0.667 0.333 0.333
0.000 0.000 0.500
0.333 0.667 0.167
0.667 0.333 0.833
0.000 0.000 0.253
0.000 0.000 0.747
0.333 0.667 0.414
0.333 0.667 0.919
0.667 0.333 0.081
0.667 0.333 0.586

Record 2
SbIr2Pd PBE-GGA optimized geometry; space group = I-42d; E_tot = -94.51 eV for the cell shown
1.0
5.298 0.000 0.000
0.000 5.298 0.000
0.000 0.000 13.376
Sb Ir Pd
4 8 4
Direct
0.000 0.000 0.000
0.000 0.500 0.250
0.500 0.000 0.750
0.500 0.500 0.500
0.235 0.250 0.625
0.250 0.735 0.875
0.250 0.765 0.375
0.265 0.250 0.125
0.735 0.750 0.125
0.750 0.235 0.375
0.750 0.265 0.875
0.765 0.750 0.625
0.000 0.000 0.500
0.000 0.500 0.750
0.500 0.000 0.250
0.500 0.500 0.000

Number 1: ρ 15.7 g/cm3. Number 2: ρ 10.8 g/cm3.